P) This record from Alexandria describes a relaxed structure of Tb7PmNd2. The functional is PBE.

a b c (Å): 14.902 14.902 3.515
angles (deg): 90.00 90.00 154.51
Positions (direct):
Tb: 0.000 0.000 0.000
Tb: 0.154 0.352 0.000
Tb: 0.314 0.686 0.500
Tb: 0.352 0.154 0.000
Tb: 0.648 0.846 0.000
Tb: 0.686 0.314 0.500
Tb: 0.846 0.648 0.000
Pm: 0.500 0.500 0.500
Nd: 0.206 0.794 0.000
Nd: 0.794 0.206 0.000

=====

Q) This record from Alexandria describes a relaxed structure of Tb7PmNd2. The functional is PBE.

a b c (Å): 5.700 7.060 8.817
angles (deg): 101.49 108.79 90.05
Positions (direct):
Tb: 0.000 0.000 0.000
Tb: 0.209 0.858 0.420
Tb: 0.400 0.703 0.800
Tb: 0.403 0.198 0.806
Tb: 0.597 0.802 0.194
Tb: 0.600 0.297 0.200
Tb: 0.791 0.142 0.580
Pm: 0.000 0.500 0.000
Nd: 0.213 0.353 0.426
Nd: 0.787 0.647 0.574

=====

Relative energies with respect to the most stable structure, expressed in eV/atom: P) 0.114; Q) 0.000.